14
Lattice="12.425 -2.415 0.000 12.425 2.415 0.000 -2.685 0.000 11.563" Properties=species:S:1:pos:R:3 comment="PBE-GGA RbBa8Au5, relaxed" dft_energy_ev_per_fu=-40.06 vol_a3_per_cell=694 n_ef_per_ev_cell=11.02 space_group="C2/m (12)" magmom_total_mub_per_atom=0.0000 e_form_ev_per_fu=-7.33 pbc="T T T"
Rb 0.000 0.000 0.000
Ba 0.079 0.000 7.569
Ba 5.599 0.000 3.902
Ba 8.083 0.000 0.046
Ba 8.298 0.000 7.569
Ba 13.867 0.000 3.994
Ba 14.083 0.000 11.518
Ba 16.566 0.000 7.661
Ba 22.086 0.000 3.995
Au 2.812 0.000 5.725
Au 2.773 0.000 9.599
Au 11.083 0.000 5.782
Au 19.393 0.000 1.965
Au 19.353 0.000 5.838